Entry from Alexandria: ReSi2Ni after structural relaxation (PBEsol).

Results
spin magnetization = 0.000 μB per atom
formation energy from raw total energies = -0.343 eV/atom

```
4
Lattice="-0.1660 -1.2990 -2.6848 2.7403 0.9951 -0.6509 2.1420 -4.5463 2.0673" Properties=species:S:1:pos:R:3 pbc="T T T"
Si 1.6274 -3.4541 1.5706
Si 0.5146 -1.0922 0.4967
Re 2.3582 -2.4251 -0.6342
Ni 1.2872 -0.1519 -1.6678
```